(1)
TbPm3H8 PBE relaxed; magnetization = 0.00 μB/cell; crystal system = cubic; energy = -53.89 eV per cell
1.0
5.360 0.000 0.000
0.000 5.360 0.000
0.000 0.000 5.360
Tb Pm H
1 3 8
Direct
0.000 0.000 0.000
0.000 0.500 0.500
0.500 0.000 0.500
0.500 0.500 0.000
0.245 0.245 0.245
0.245 0.245 0.755
0.245 0.755 0.245
0.245 0.755 0.755
0.755 0.245 0.245
0.755 0.245 0.755
0.755 0.755 0.245
0.755 0.755 0.755

---

(2)
ThAs2Pd2 PBE relaxed; magnetization = 0.00 μB/cell; crystal system = orthorhombic; energy = -62.37 eV per cell; E_form = -79 kJ per mole of atoms
1.0
2.088 -5.945 0.000
2.088 5.945 0.000
0.000 0.000 7.883
Th As Pd
2 4 4
Direct
0.093 0.907 0.500
0.907 0.093 0.000
0.235 0.765 0.823
0.453 0.547 0.689
0.547 0.453 0.189
0.765 0.235 0.323
0.191 0.809 0.139
0.380 0.620 0.375
0.620 0.380 0.875
0.809 0.191 0.639

---

(3)
BaLiTmCl6 PBE relaxed; magnetization = 0.00 μB/cell; formation energy (no corrections) = -218 kJ per mole of atoms; crystal system = trigonal; energy = -79.46 eV per cell
1.0
6.790 0.000 0.000
-3.395 5.880 0.000
0.000 0.000 13.424
Ba Li Tm Cl
2 2 2 12
Direct
0.000 0.000 0.000
0.000 0.000 0.500
0.333 0.667 0.250
0.667 0.333 0.750
0.333 0.667 0.750
0.667 0.333 0.250
0.000 0.367 0.140
0.000 0.368 0.640
0.000 0.632 0.360
0.000 0.633 0.860
0.367 0.000 0.640
0.367 0.368 0.860
0.368 0.000 0.140
0.368 0.367 0.360
0.632 0.000 0.860
0.632 0.633 0.640
0.633 0.000 0.360
0.633 0.632 0.140

---

Repeat the second record exactly.
ThAs2Pd2 PBE relaxed; magnetization = 0.00 μB/cell; crystal system = orthorhombic; energy = -62.37 eV per cell; E_form = -79 kJ per mole of atoms
1.0
2.088 -5.945 0.000
2.088 5.945 0.000
0.000 0.000 7.883
Th As Pd
2 4 4
Direct
0.093 0.907 0.500
0.907 0.093 0.000
0.235 0.765 0.823
0.453 0.547 0.689
0.547 0.453 0.189
0.765 0.235 0.323
0.191 0.809 0.139
0.380 0.620 0.375
0.620 0.380 0.875
0.809 0.191 0.639

---

The lowest energy belongs to which entry?
BaLiTmCl6